Record 1
Entry from the Alexandria database: a relaxed structure of Ho6Fe2Pt (PBE-GGA).

Lattice parameters (Å, degrees): 8.162 8.162 8.162 107.80 111.46 109.18
Each line ends with the local moment (μB).
Sites, in units of the cell vectors:
Fe (0.379, 0.000, 0.379)  0.88
Fe (0.500, 0.610, 0.110)  0.72
Fe (0.500, 0.390, 0.890)  0.72
Fe (0.621, 0.000, 0.621)  0.88
Ho (0.196, 0.238, 0.433)  -0.09
Ho (0.700, 0.383, 0.683)  -0.12
Ho (0.907, 0.723, 0.184)  -0.11
Ho (0.700, 0.017, 0.317)  -0.12
Ho (0.196, 0.762, 0.958)  -0.09
Ho (0.539, 0.723, 0.816)  -0.11
Ho (0.300, 0.617, 0.317)  -0.12
Ho (0.093, 0.277, 0.816)  -0.11
Ho (0.300, 0.983, 0.683)  -0.12
Ho (0.461, 0.277, 0.184)  -0.11
Ho (0.804, 0.238, 0.042)  -0.09
Ho (0.804, 0.762, 0.567)  -0.09
Pt (0.000, 0.500, 0.500)  -0.01
Pt (0.000, 0.000, 0.000)  -0.02

D(E_F)	19.73	states/eV/cell
uncorrected energy	-53.2	eV/f.u.
ΔE_f	-268.9	kJ/mol of formula units

---

Record 2
Entry from the Alexandria database: a relaxed structure of HoFePt2 (PBE-GGA).

Lattice parameters (Å, degrees): 3.981 4.115 4.115 90.00 90.00 90.00
Each line ends with the local moment (μB).
Sites, in units of the cell vectors:
Ho (0.500, 0.500, 0.500)  -0.20
Fe (0.500, 0.000, 0.000)  2.66
Pt (0.000, 0.500, 0.000)  0.10
Pt (0.000, 0.000, 0.500)  0.10

D(E_F)	3.33	states/eV/cell
uncorrected energy	-27.9	eV/f.u.
ΔE_f	-264.3	kJ/mol of formula units